VASP calculation (PBE-GGA) on an optimized crystal structure of KAgAs. Values from VASP.

Computed properties:
Energy of formation from the pure elements in eV/atom: -0.223
Spin magnetization in μB/f.u.: 0.00
Final energy in eV/atom: -3.089
Space group: Imm2 (44)
Calculated density in g cm⁻³: 4.88
Crystal system: orthorhombic
Relative energy among the computed polymorphs in meV per atom: 26

The structure in Quantum ESPRESSO input format:
```
&SYSTEM
  ibrav = 0, nat = 6, ntyp = 3
/
ATOMIC_SPECIES
K 39.10 K.upf
Ag 107.87 Ag.upf
As 74.92 As.upf
CELL_PARAMETERS angstrom
4.364 0.000 1.981
1.997 5.599 1.399
-0.137 -0.295 6.098
ATOMIC_POSITIONS angstrom
K 5.057 3.153 6.251
K 1.909 5.201 7.389
Ag 3.253 5.478 4.428
Ag 1.972 1.941 7.249
As 3.803 2.932 3.218
As 3.088 0.959 4.791
```